First-principles (SCAN) data for a PBEsol-optimized structure of Ge3AuCl, as listed in Alexandria.

a b c (Å): 4.8033 4.8033 4.8033
angles (deg): 90.00 90.00 90.00
Atoms (fractional coordinates):
1 Ge 0.0000 0.0000 0.5000
2 Ge 0.0000 0.5000 0.0000
3 Ge 0.5000 0.0000 0.0000
4 Au 0.5000 0.5000 0.5000
5 Cl 0.0000 0.0000 0.0000

Values from the calculation:
Crystal system: cubic
Space group: No. 221
Formation energy without anion corrections, kJ per mole of atoms: 95.9

***

First-principles (SCAN) data for a PBEsol-optimized structure of GeAuCl3, as listed in Alexandria.

a b c (Å): 4.9416 4.9416 4.9416
angles (deg): 90.00 90.00 90.00
Atoms (fractional coordinates):
1 Ge 0.0000 0.0000 0.0000
2 Au 0.5000 0.5000 0.5000
3 Cl 0.0000 0.5000 0.5000
4 Cl 0.5000 0.0000 0.5000
5 Cl 0.5000 0.5000 0.0000

Values from the calculation:
Crystal system: cubic
Space group: No. 221
Formation energy without anion corrections, kJ per mole of atoms: 11.2

***

First-principles (SCAN) data for a PBEsol-optimized structure of GeP2AuCl, as listed in Alexandria.

a b c (Å): 4.7129 4.7129 4.5837
angles (deg): 90.00 90.00 90.00
Atoms (fractional coordinates):
1 Ge 0.0000 0.0000 0.0000
2 P 0.0000 0.5000 0.0000
3 P 0.5000 0.0000 0.0000
4 Au 0.5000 0.5000 0.5000
5 Cl 0.0000 0.0000 0.5000

Values from the calculation:
Crystal system: tetragonal
Space group: No. 123
Formation energy without anion corrections, kJ per mole of atoms: 86.8

***

First-principles (SCAN) data for a PBEsol-optimized structure of HAuCl3, as listed in Alexandria.

a b c (Å): 4.8634 4.8634 4.8634
angles (deg): 90.00 90.00 90.00
Atoms (fractional coordinates):
1 H 0.0000 0.0000 0.0000
2 Au 0.5000 0.5000 0.5000
3 Cl 0.0000 0.5000 0.5000
4 Cl 0.5000 0.0000 0.5000
5 Cl 0.5000 0.5000 0.0000

Values from the calculation:
Crystal system: cubic
E_tot, eV/atom: -18.96
Space group: No. 221

***

First-principles (SCAN) data for a PBEsol-optimized structure of HAu2Cl, as listed in Alexandria.

a b c (Å): 4.3991 4.3991 4.3991
angles (deg): 60.00 60.00 60.00
Atoms (fractional coordinates):
1 H 0.0000 0.0000 0.0000
2 Au 0.2500 0.2500 0.2500
3 Au 0.7500 0.7500 0.7500
4 Cl 0.5000 0.5000 0.5000

Values from the calculation:
Crystal system: cubic
E_tot, eV/atom: -36.55
Space group: No. 225

***

First-principles (SCAN) data for a PBEsol-optimized structure of HfPAuCl2, as listed in Alexandria.

a b c (Å): 4.7448 4.7448 5.1789
angles (deg): 90.00 90.00 90.00
Atoms (fractional coordinates):
1 Hf 0.0000 0.0000 0.0000
2 P 0.0000 0.0000 0.5000
3 Au 0.5000 0.5000 0.5000
4 Cl 0.0000 0.5000 0.0000
5 Cl 0.5000 0.0000 0.0000

Values from the calculation:
Crystal system: tetragonal
Space group: No. 123
Formation energy without anion corrections, kJ per mole of atoms: -40.9

***

First-principles (SCAN) data for a PBEsol-optimized structure of HgAuCl, as listed in Alexandria.

a b c (Å): 4.6282 4.6282 4.6282
angles (deg): 60.00 60.00 60.00
Atoms (fractional coordinates):
1 Hg 0.0000 0.0000 0.0000
2 Au 0.5000 0.5000 0.5000
3 Cl 0.7500 0.7500 0.7500

Values from the calculation:
Crystal system: cubic
Space group: No. 216
Formation energy without anion corrections, kJ per mole of atoms: 42.4

***

First-principles (SCAN) data for a PBEsol-optimized structure of Hg3AuCl, as listed in Alexandria.

a b c (Å): 5.3065 5.3065 5.3065
angles (deg): 90.00 90.00 90.00
Atoms (fractional coordinates):
1 Hg 0.0000 0.0000 0.5000
2 Hg 0.0000 0.5000 0.0000
3 Hg 0.5000 0.0000 0.0000
4 Au 0.5000 0.5000 0.5000
5 Cl 0.0000 0.0000 0.0000

Values from the calculation:
Crystal system: cubic
Space group: No. 221
Formation energy without anion corrections, kJ per mole of atoms: 61.6

***

First-principles (SCAN) data for a PBEsol-optimized structure of Hg4AuCl, as listed in Alexandria.

a b c (Å): 5.7594 5.7594 5.7594
angles (deg): 60.00 60.00 60.00
Atoms (fractional coordinates):
1 Hg 0.1248 0.1248 0.1248
2 Hg 0.1248 0.1248 0.6257
3 Hg 0.1248 0.6257 0.1248
4 Hg 0.6257 0.1248 0.1248
5 Au 0.7500 0.7500 0.7500
6 Cl 0.5000 0.5000 0.5000

Values from the calculation:
Crystal system: cubic
Space group: No. 216
Formation energy without anion corrections, kJ per mole of atoms: 19.5

***

First-principles (SCAN) data for a PBEsol-optimized structure of HgAuCl4, as listed in Alexandria.

a b c (Å): 5.6737 5.6737 5.6737
angles (deg): 60.00 60.00 60.00
Atoms (fractional coordinates):
1 Hg 0.0000 0.0000 0.0000
2 Au 0.2500 0.2500 0.2500
3 Cl 0.1249 0.6250 0.6250
4 Cl 0.6250 0.1249 0.6250
5 Cl 0.6250 0.6250 0.1249
6 Cl 0.6250 0.6250 0.6250

Values from the calculation:
Crystal system: cubic
Space group: No. 216
Formation energy without anion corrections, kJ per mole of atoms: 69.6

***

Spin magnetization list, top to bottom, in μB per cell: 0.00; 0.76; 1.20; 0.92; 0.38; 0.00; 0.00; 0.00; 0.00; 3.02